Below is NaPPb2F after structural relaxation, with properties calculated at the GGA-PBE level.

POSCAR file:
```
NaPPb2F
1.0
-4.3857 -2.6418 -1.0659
2.0269 -3.6867 0.7972
-1.4095 0.3119 5.0265
Pb P F Na
2 1 1 1
Direct
0.0000 0.0000 0.5000
0.5000 0.0000 0.0000
0.5000 0.5000 0.5000
0.0000 0.0000 0.0000
0.0000 0.5000 0.0000
```

Summary:
- formation energy without anion corrections (meV/atom) = -578
- E_tot (eV/cell) = -18.906
- M_tot (μB per atom) = 0.000


Below is HfGaSeN2 after structural relaxation, with properties calculated at the GGA-PBE level.

POSCAR file:
```
HfGaSeN2
1.0
4.0854 0.0000 0.0000
0.0000 4.0854 0.0000
0.0000 0.0000 5.6411
Hf Ga Se N
1 1 1 2
Direct
0.0000 0.0000 0.0000
0.5000 0.5000 0.5000
0.0000 0.0000 0.5000
0.0000 0.5000 0.0000
0.5000 0.0000 0.0000
```

Summary:
- formation energy without anion corrections (meV/atom) = 158
- E_tot (eV/cell) = -32.327
- M_tot (μB per atom) = 0.000


Below is NaCaCd3 after structural relaxation, with properties calculated at the GGA-PBE level.

POSCAR file:
```
NaCaCd3
1.0
3.5971 0.0000 -0.4953
0.0000 5.0617 0.0000
0.2363 0.0000 15.0265
Na Ca Cd
2 2 6
Direct
0.9259 0.7500 0.8518
0.0741 0.2500 0.1482
0.2108 0.7500 0.4217
0.7892 0.2500 0.5783
0.6200 0.7500 0.2401
0.3800 0.2500 0.7599
0.5236 0.7500 0.0472
0.4764 0.2500 0.9528
0.6744 0.2500 0.3489
0.3256 0.7500 0.6511
```

Summary:
- E_tot (eV/cell) = -13.933
- M_tot (μB per atom) = 0.000
- energy of formation from the pure elements (eV/atom) = -0.1801


Below is LiErP after structural relaxation, with properties calculated at the GGA-PBE level.

POSCAR file:
```
LiErP
1.0
-0.4739 -3.1966 1.9966
2.3344 1.3309 2.6849
-3.9860 2.5459 -0.4835
P Li Er
1 1 1
Direct
0.6346 0.6346 0.2692
0.9378 0.9378 0.8756
0.2776 0.2776 0.5551
```

Summary:
- E_tot (eV/cell) = -13.667
- M_tot (μB per atom) = 0.063
- energy of formation from the pure elements (eV/atom) = -0.5935


Below is Sm2Zn5CuRh2 after structural relaxation, with properties calculated at the GGA-PBE level.

POSCAR file:
```
Sm2Zn5CuRh2
1.0
-0.9116 -2.5630 2.4911
-0.2406 -6.8250 -7.1102
9.5498 -1.9197 1.5195
Sm Zn Cu Rh
4 10 2 4
Direct
0.0000 0.6805 0.1805
0.0000 0.3195 0.8195
0.0000 0.1805 0.3195
0.0000 0.8195 0.6805
0.5000 0.1896 0.0521
0.5000 0.8104 0.9479
0.5000 0.0521 0.8104
0.5000 0.6896 0.4479
0.5000 0.9479 0.1896
0.5000 0.3104 0.5521
0.5000 0.5521 0.6896
0.5000 0.4479 0.3104
0.5000 0.5000 0.0000
0.5000 0.0000 0.5000
0.0000 0.0000 0.0000
0.0000 0.5000 0.5000
0.0000 0.1239 0.6239
0.0000 0.8761 0.3761
0.0000 0.6239 0.8761
0.0000 0.3761 0.1239
```

Summary:
- E_tot (eV/cell) = -76.160
- M_tot (μB per atom) = 0.000
- energy of formation from the pure elements (eV/atom) = -0.3473


Below is Y2AlIr after structural relaxation, with properties calculated at the GGA-PBE level.

POSCAR file:
```
Y2AlIr
1.0
-3.4881 0.5213 -1.9450
-2.1103 -0.4468 3.6648
-0.7210 5.1514 2.6738
Y Ir Al
2 1 1
Direct
0.0000 0.9882 0.8993
0.5000 0.2752 0.3244
0.5000 0.5480 0.7791
0.0000 0.6887 0.4972
```

Summary:
- E_tot (eV/cell) = -28.187
- M_tot (μB per atom) = 0.000
- energy of formation from the pure elements (eV/atom) = -0.6638


Below is TaIn2Cl after structural relaxation, with properties calculated at the GGA-PBE level.

POSCAR file:
```
TaIn2Cl
1.0
7.5042 -0.0020 -0.0061
5.5797 5.0180 0.0061
-6.1674 -3.4851 2.4761
Cl In Ta
1 2 1
Direct
0.2500 0.7500 0.5000
0.9392 0.9392 0.0000
0.5608 0.5608 0.0000
0.7500 0.2500 0.5000
```

Summary:
- formation energy without anion corrections (meV/atom) = 222
- E_tot (eV/cell) = -18.288
- M_tot (μB per atom) = 0.147


Below is PmTh4In5 after structural relaxation, with properties calculated at the GGA-PBE level.

POSCAR file:
```
PmTh4In5
1.0
-3.1010 -1.2064 -1.1693
1.1677 -3.3125 0.3206
-7.8588 -0.6849 21.5483
Pm Th In
1 4 5
Direct
0.0000 0.0000 0.0000
0.0000 0.0000 0.1980
0.0000 0.0000 0.3991
0.0000 0.0000 0.6009
0.0000 0.0000 0.8020
0.5000 0.5000 0.0976
0.5000 0.5000 0.2985
0.5000 0.5000 0.5000
0.5000 0.5000 0.7015
0.5000 0.5000 0.9024
```

Summary:
- E_tot (eV/cell) = -51.365
- M_tot (μB per atom) = 0.000
- energy of formation from the pure elements (eV/atom) = -0.3243